(1)
Compound: PrYCu
Source: the Alexandria database
Functional: PBE
Structure: relaxed

Cell: 4.845 4.845 3.924 Å, 90.00 90.00 120.00°
Fractional coordinates of all 3 atoms:
Pr 0.000 0.000 0.000
Y 0.667 0.333 0.469
Cu 0.333 0.667 0.664

The total energy comes out at -15.1 eV for the cell shown. The formation energy is 0.22 eV per formula unit. The calculation puts the excess energy over the best structure of this formula in the dataset at 0.51 eV/f.u.

***

(2)
Compound: YAg2Mo
Source: the Alexandria database
Functional: PBE
Structure: relaxed

Cell: 9.987 2.957 5.409 Å, 90.00 100.48 90.00°
Fractional coordinates of all 8 atoms:
Y 0.000 0.000 0.000
Y 0.500 0.500 0.000
Ag 0.239 0.000 0.739
Ag 0.494 0.000 0.490
Ag 0.739 0.500 0.739
Ag 0.994 0.500 0.490
Mo 0.246 0.500 0.269
Mo 0.746 0.000 0.269

The total energy comes out at -43.1 eV for the cell shown. The formation energy is 1.45 eV per formula unit. The calculation puts the excess energy over the best structure of this formula in the dataset at 0.27 eV/f.u.

***

Number 1: N(E_F) 3.4 states/eV/f.u.. Number 2: N(E_F) 3.4 states/eV/f.u..